KCoRe2: optimized geometry, PBE.

Computed properties:
DOS at the Fermi energy ... 1.13 states/eV/atom
Magnetization ... 0.07 μB per atom
Space-group type ... No. 47

Structure (POSCAR):
```
KCoRe2
1.0
2.622 0.000 0.000
0.000 3.456 0.000
0.000 0.000 8.500
K Co Re
1 1 2
Direct
0.000 0.000 0.000
0.000 0.000 0.500
0.500 0.500 0.347
0.500 0.500 0.653
```

---

K4CoRe: optimized geometry, PBE.

Computed properties:
DOS at the Fermi energy ... 2.11 states/eV/atom
Magnetization ... 0.33 μB per atom
Space-group type ... No. 216

Structure (POSCAR):
```
K4CoRe
1.0
0.000 4.934 4.934
4.934 0.000 4.934
4.934 4.934 0.000
K Co Re
4 1 1
Direct
0.125 0.125 0.125
0.125 0.125 0.626
0.125 0.626 0.125
0.626 0.125 0.125
0.500 0.500 0.500
0.750 0.750 0.750
```

---

K2CoRe: optimized geometry, PBE.

Computed properties:
DOS at the Fermi energy ... 0.91 states/eV/atom
Magnetization ... 0.38 μB per atom
Space-group type ... No. 65

Structure (POSCAR):
```
K2CoRe
1.0
1.580 -2.236 0.000
1.580 2.236 0.000
0.000 0.000 11.454
K Co Re
2 1 1
Direct
0.000 0.000 0.245
0.000 0.000 0.755
0.500 0.500 0.000
0.500 0.500 0.500
```

---

K2CoRe: optimized geometry, PBE.

Computed properties:
DOS at the Fermi energy ... 0.60 states/eV/atom
Magnetization ... 1.05 μB per atom
Space-group type ... No. 216

Structure (POSCAR):
```
K2CoRe
1.0
0.000 3.564 3.564
3.564 0.000 3.564
3.564 3.564 0.000
K Co Re
2 1 1
Direct
0.000 0.000 0.000
0.250 0.250 0.250
0.500 0.500 0.500
0.750 0.750 0.750
```

---

KCoRe2: optimized geometry, PBE.

Computed properties:
DOS at the Fermi energy ... 0.89 states/eV/atom
Magnetization ... 0.21 μB per atom
Space-group type ... No. 216

Structure (POSCAR):
```
KCoRe2
1.0
0.000 3.173 3.173
3.173 0.000 3.173
3.173 3.173 0.000
K Co Re
1 1 2
Direct
0.000 0.000 0.000
0.250 0.250 0.250
0.500 0.500 0.500
0.750 0.750 0.750
```

---

KCoRe2: optimized geometry, PBE.

Computed properties:
DOS at the Fermi energy ... 1.25 states/eV/atom
Magnetization ... 0.00 μB per atom
Space-group type ... No. 225

Structure (POSCAR):
```
KCoRe2
1.0
0.000 3.123 3.123
3.123 0.000 3.123
3.123 3.123 0.000
K Co Re
1 1 2
Direct
0.000 0.000 0.000
0.500 0.500 0.500
0.250 0.250 0.250
0.750 0.750 0.750
```

---

KCo2Re: optimized geometry, PBE.

Computed properties:
DOS at the Fermi energy ... 1.31 states/eV/atom
Magnetization ... 0.54 μB per atom
Space-group type ... No. 25

Structure (POSCAR):
```
KCo2Re
1.0
2.617 0.000 0.000
0.000 3.593 0.000
0.000 0.000 7.848
K Co Re
1 2 1
Direct
0.000 0.000 0.000
0.000 0.000 0.509
0.500 0.500 0.668
0.500 0.500 0.366
```

---

K2CoRe: optimized geometry, PBE.

Computed properties:
DOS at the Fermi energy ... 0.79 states/eV/atom
Magnetization ... 0.38 μB per atom
Space-group type ... No. 123

Structure (POSCAR):
```
K2CoRe
1.0
2.702 0.000 0.000
0.000 2.702 0.000
0.000 0.000 11.323
K Co Re
2 1 1
Direct
0.000 0.000 0.245
0.000 0.000 0.755
0.500 0.500 0.000
0.500 0.500 0.500
```

---

In the order shown, the computed energy of formation values come out to 0.94 1.80 1.37 1.81 1.47 1.99 0.81 1.39 eV per atom.